Entry 1:
Below is a relaxed structure of Cu7Au3, with properties calculated at the PBE level.

```
10
Lattice="-3.236 -1.936 0.337 2.556 -3.748 3.005 -0.583 5.475 4.587" Properties=species:S:1:pos:R:3 pbc="T T T"
Cu -0.626 1.428 2.195
Cu 0.003 -3.093 3.530
Cu -0.638 -1.638 5.734
Cu -1.273 -1.225 2.002
Cu 1.278 -1.874 1.503
Cu 0.010 1.016 5.928
Cu -1.267 2.883 4.399
Au 0.000 0.000 0.000
Au 0.699 -0.525 3.694
Au -1.963 0.316 4.235
```

Computed properties:
ΔE_f (eV per atom): -0.026
Size of the total moment (μB/cell): 0.000
Fermi-level density of states (states/eV/f.u.): 4.0
E_tot (eV per atom): -3.876

---

Entry 2:
Below is a relaxed structure of TiAsSe, with properties calculated at the PBE level.

```
6
Lattice="-1.991 1.953 2.170 -2.648 -1.762 -3.720 -0.866 -5.778 4.406" Properties=species:S:1:pos:R:3 pbc="T T T"
Ti -2.907 -5.018 1.850
Ti -2.598 -0.569 1.006
As -4.143 -2.674 1.483
As -1.361 -2.912 1.373
Se -2.548 -4.134 4.261
Se -2.956 -1.452 -1.405
```

Computed properties:
Size of the total moment (μB/cell): 0.481
Fermi-level density of states (states/eV/f.u.): 2.0
Formation energy (no corrections) (eV/atom): -0.7305
E_tot (eV per atom): -6.074

---

Entry 3:
Below is a relaxed structure of MgZn2In2Ag5, with properties calculated at the PBE level.

```
20
Lattice="-2.357 -2.426 2.595 6.893 -6.464 0.217 3.811 4.316 7.497" Properties=species:S:1:pos:R:3 pbc="T T T"
In 2.443 0.277 2.479
In 5.314 -3.607 1.454
In 8.261 -2.426 5.235
In 5.390 1.458 6.260
Mg 0.000 0.000 0.000
Mg 5.352 -1.074 3.857
Ag 2.268 -4.445 1.406
Ag 0.491 -2.164 1.925
Ag 5.469 -1.932 6.663
Ag 7.856 -2.411 8.384
Ag 0.727 0.945 5.046
Ag 2.411 1.740 7.319
Ag 5.936 -6.314 2.990
Ag 2.878 -2.643 3.645
Ag 5.249 -3.910 4.614
Ag 3.098 -0.664 5.695
Zn 3.207 1.897 4.687
Zn 7.632 -0.227 6.720
Zn 3.072 -1.921 0.994
Zn 7.497 -4.045 3.027
```

Computed properties:
ΔE_f (eV per atom): -0.024
Size of the total moment (μB/cell): 0.000
Fermi-level density of states (states/eV/f.u.): 2.6
E_tot (eV per atom): -2.411

---

Entry 4:
Below is a relaxed structure of Y4CdNi, with properties calculated at the PBE level.

```
24
Lattice="-6.264 6.592 3.076 -7.682 -2.686 5.091 -0.541 2.113 9.348" Properties=species:S:1:pos:R:3 pbc="T T T"
Y -1.087 1.166 4.602
Y -3.036 2.447 9.128
Y -6.629 5.258 5.191
Y -3.251 2.859 2.230
Y -3.788 -0.649 2.992
Y -6.968 6.585 11.059
Y -7.519 -0.566 6.456
Y -3.992 0.150 6.527
Y -7.859 0.761 12.324
Y -8.461 2.769 6.794
Y -6.200 0.999 9.273
Y -11.451 3.572 8.387
Y -6.156 1.844 4.156
Y -3.456 3.658 5.765
Y -8.675 3.604 10.488
Y -5.639 4.666 8.476
Ni -5.919 3.271 10.895
Ni -8.990 1.207 9.064
Ni -8.380 5.198 8.197
Ni -5.686 2.362 6.874
Cd -12.041 5.002 14.557
Cd -11.865 4.317 11.524
Cd -10.008 2.864 13.559
Cd -9.548 5.874 12.905
```

Computed properties:
Polymorph energy (0 for the lowest one) (eV per formula unit): 0.00
ΔE_f (eV per atom): -0.301
Size of the total moment (μB/cell): 0.000
Fermi-level density of states (states/eV/f.u.): 6.6
E_tot (eV per atom): -5.727